# Rb2TaCl | Alexandria | PBE-GGA | relaxed
# magnetic moment	0.964	μB per atom
# energy above the most stable polymorph in this dataset	0.000	eV per atom
# crystal system	tetragonal
data_Rb2TaCl
_chemical_formula_sum 'Rb8 Ta4 Cl4'
_cell_length_a 13.123
_cell_length_b 13.123
_cell_length_c 4.816
_cell_angle_alpha 90.00
_cell_angle_beta 90.00
_cell_angle_gamma 90.00
_symmetry_space_group_name_H-M 'I -4 2 d'
_symmetry_Int_Tables_number 122
_symmetry_space_group_name_Hall 'I -4 2bw'
loop_
_atom_site_label
_atom_site_fract_x
_atom_site_fract_y
_atom_site_fract_z
Rb1 0.076 0.250 0.125
Ta1 0.000 0.000 0.500
Cl1 0.000 0.000 0.000